Compound: Tb4Ni2Au
Source: the Alexandria database
Functional: GGA-PBE
Structure: relaxed

a = 10.1017 Å, b = 10.1017 Å, c = 10.1017 Å
α = 25.68°, β = 25.68°, γ = 25.68°
Last column: nearest neighbours and their distance in Å.
Fractional coordinates of all 7 atoms:
1 Tb 0.1152 0.1152 0.1152  3 Ni 2.91, 3 Au 3.00
2 Tb 0.2981 0.2981 0.2981  4 Ni 2.79-3.09
3 Tb 0.7019 0.7019 0.7019  4 Ni 2.79-3.09
4 Tb 0.8848 0.8848 0.8848  3 Ni 2.91, 3 Au 3.00
5 Ni 0.4037 0.4037 0.4037  7 Tb 2.79-3.09, 1 Au 2.82
6 Ni 0.5963 0.5963 0.5963  7 Tb 2.79-3.09, 1 Au 2.82
7 Au 0.5000 0.5000 0.5000  2 Ni 2.82, 6 Tb 3.00

Output
* V: 24.36 Å³/atom
* final energy: -5.13 eV per atom
* size of the total moment: 0.000 μB per formula unit
* symmetry: R-3m, No. 166
* E_form: -0.3681 eV/atom